{"formula": "Mn2CdBr", "functional": "PBE", "state": "optimized geometry", "de_polymorph_mev_per_atom": 168, "raw_formation_energy_mev_per_atom": 377, "space_group": "P4/mmm (123)", "cell": [[3.194, 0.000, 0.000], [0.000, 3.194, 0.000], [0.000, 0.000, 7.716]], "species": ["Br", "Cd", "Mn", "Mn"], "fractional_positions": [[0.500, 0.500, 0.250], [0.500, 0.500, 0.750], [0.000, 0.000, 0.992], [0.000, 0.000, 0.508]]}

***

{"formula": "TlWN2", "functional": "PBE", "state": "optimized geometry", "de_polymorph_mev_per_atom": 1199, "raw_formation_energy_mev_per_atom": 1099, "space_group": "R-3m (166)", "cell": [[2.676, 0.012, 6.275], [3.784, -2.794, 4.941], [5.307, 0.057, 4.286]], "species": ["Tl", "W", "N", "N"], "fractional_positions": [[0.500, 0.500, 0.500], [0.000, 0.000, 0.000], [0.903, 0.903, 0.903], [0.097, 0.097, 0.097]]}

***

{"formula": "TlHgTeW2", "functional": "PBE", "state": "optimized geometry", "de_polymorph_mev_per_atom": 0, "raw_formation_energy_mev_per_atom": 2056, "space_group": "P4/mmm (123)", "cell": [[5.030, 0.000, 0.000], [0.000, 5.030, 0.000], [0.000, 0.000, 6.214]], "species": ["Tl", "Te", "Hg", "W", "W"], "fractional_positions": [[0.000, 0.000, 0.500], [0.000, 0.000, 0.000], [0.500, 0.500, 0.500], [0.000, 0.500, 0.000], [0.500, 0.000, 0.000]]}

***

{"formula": "ZnPd3Pt3", "functional": "PBE", "state": "optimized geometry", "de_polymorph_mev_per_atom": 427, "space_group": "P6_3/m (176)", "formation_enthalpy_0k_ev_per_fu": 1.79, "cell": [[-2.053, 0.238, 1.731], [-7.260, -2.421, -8.277], [4.344, -8.285, 6.290]], "species": ["Zn", "Zn", "Pd", "Pd", "Pd", "Pd", "Pd", "Pd", "Pt", "Pt", "Pt", "Pt", "Pt", "Pt"], "fractional_positions": [[0.250, 0.333, 0.667], [0.750, 0.667, 0.333], [0.750, 0.874, 0.262], [0.750, 0.388, 0.126], [0.250, 0.262, 0.388], [0.750, 0.738, 0.612], [0.250, 0.612, 0.874], [0.250, 0.126, 0.738], [0.750, 0.472, 0.385], [0.750, 0.912, 0.528], [0.250, 0.385, 0.912], [0.750, 0.615, 0.088], [0.250, 0.088, 0.472], [0.250, 0.528, 0.615]]}

***

{"formula": "NpSbBr", "functional": "PBE", "state": "optimized geometry", "de_polymorph_mev_per_atom": 252, "raw_formation_energy_mev_per_atom": -327, "space_group": "P-6m2 (187)", "cell": [[3.416, 0.000, 0.000], [0.000, 5.135, 0.000], [0.000, -2.567, 4.447]], "species": ["Np", "Sb", "Br"], "fractional_positions": [[0.167, 0.000, 0.000], [0.667, 0.667, 0.333], [0.166, 0.333, 0.667]]}

***

{"formula": "V2Ru", "functional": "PBE", "state": "optimized geometry", "space_group": "C2/m (12)", "formation_enthalpy_0k_ev_per_fu": -0.83, "cell": [[5.162, 0.000, 0.005], [0.000, 4.212, 0.000], [-5.123, 0.000, 7.444]], "species": ["Ru", "Ru", "Ru", "Ru", "V", "V", "V", "V", "V", "V", "V", "V"], "fractional_positions": [[0.255, 0.000, 0.175], [0.745, 0.000, 0.825], [0.255, 0.500, 0.675], [0.745, 0.500, 0.325], [0.751, 0.000, 0.499], [0.249, 0.000, 0.501], [0.751, 0.500, 0.999], [0.249, 0.500, 0.001], [0.253, 0.000, 0.839], [0.747, 0.000, 0.161], [0.253, 0.500, 0.339], [0.747, 0.500, 0.661]]}

***

{"formula": "LiCeSb2", "functional": "PBE", "state": "optimized geometry", "de_polymorph_mev_per_atom": 222, "raw_formation_energy_mev_per_atom": -595, "space_group": "P4/mmm (123)", "cell": [[3.938, 0.000, 0.000], [0.000, 3.938, 0.000], [0.000, 0.000, 6.576]], "species": ["Sb", "Sb", "Ce", "Li"], "fractional_positions": [[0.000, 0.000, 0.732], [0.000, 0.000, 0.268], [0.500, 0.500, 0.000], [0.500, 0.500, 0.500]]}

***

{"formula": "La2AlSb", "functional": "PBE", "state": "optimized geometry", "de_polymorph_mev_per_atom": 0, "raw_formation_energy_mev_per_atom": -758, "space_group": "Amm2 (38)", "cell": [[-5.654, 1.671, 2.395], [-5.809, 1.183, -2.314], [-1.042, -4.186, 0.468]], "species": ["Sb", "Al", "La", "La"], "fractional_positions": [[0.547, 0.547, 0.375], [0.709, 0.709, 0.875], [0.983, 0.983, 0.875], [0.261, 0.261, 0.375]]}

***

{"formula": "Li3B8C8", "functional": "PBE", "state": "optimized geometry", "de_polymorph_mev_per_atom": 85, "space_group": "P1 (1)", "formation_enthalpy_0k_ev_per_fu": 1.74, "cell": [[-5.410, 4.535, -3.215], [-2.943, 2.567, -6.731], [-2.794, -4.519, 0.570]], "species": ["C", "C", "C", "C", "C", "C", "C", "C", "B", "B", "B", "B", "B", "B", "B", "B", "Li", "Li", "Li"], "fractional_positions": [[0.709, 0.037, 0.687], [0.284, 0.953, 0.309], [0.712, 0.046, 0.188], [0.289, 0.958, 0.812], [0.215, 0.541, 0.439], [0.788, 0.455, 0.060], [0.211, 0.549, 0.940], [0.790, 0.463, 0.563], [0.459, 0.788, 0.562], [0.538, 0.209, 0.438], [0.458, 0.782, 0.059], [0.535, 0.216, 0.936], [0.964, 0.287, 0.313], [0.042, 0.719, 0.193], [0.963, 0.287, 0.810], [0.040, 0.712, 0.685], [0.507, 0.494, 0.266], [0.996, 0.003, 0.979], [0.750, 0.750, 0.885]]}

***

{"formula": "Pa2CdBi", "functional": "PBE", "state": "optimized geometry", "de_polymorph_mev_per_atom": 27, "space_group": "P4/mmm (123)", "formation_enthalpy_0k_ev_per_fu": 0.51, "cell": [[4.152, 0.000, 0.000], [0.000, 4.152, 0.000], [0.000, 0.000, 6.248]], "species": ["Pa", "Pa", "Bi", "Cd"], "fractional_positions": [[0.000, 0.000, 0.728], [0.000, 0.000, 0.272], [0.500, 0.500, 0.000], [0.500, 0.500, 0.500]]}

***

{"formula": "K3MnCu2Cl9", "functional": "PBE", "state": "optimized geometry", "raw_formation_energy_mev_per_atom": -1219, "space_group": "P-3m1 (164)", "cell": [[6.933, 0.000, 0.000], [-3.466, 6.004, 0.000], [0.000, 0.000, 8.485]], "species": ["K", "K", "K", "Mn", "Cu", "Cu", "Cl", "Cl", "Cl", "Cl", "Cl", "Cl", "Cl", "Cl", "Cl"], "fractional_positions": [[0.333, 0.667, 0.678], [0.000, 0.000, 0.000], [0.667, 0.333, 0.322], [0.000, 0.000, 0.500], [0.333, 0.667, 0.159], [0.667, 0.333, 0.841], [0.835, 0.165, 0.663], [0.835, 0.670, 0.663], [0.330, 0.165, 0.663], [0.670, 0.835, 0.337], [0.165, 0.330, 0.337], [0.165, 0.835, 0.337], [0.500, 0.000, 0.000], [0.000, 0.500, 0.000], [0.500, 0.500, 0.000]]}

***

{"formula": "Ca7HoTl4", "functional": "PBE", "state": "optimized geometry", "space_group": "C2/m (12)", "formation_enthalpy_0k_ev_per_fu": -1.33, "cell": [[-4.149, 1.459, 3.775], [-3.786, -8.287, 3.491], [2.794, 0.113, 7.477]], "species": ["Ca", "Ca", "Ca", "Ca", "Ca", "Ca", "Ca", "Ho", "Tl", "Tl", "Tl", "Tl"], "fractional_positions": [[0.780, 0.879, 0.561], [0.220, 0.121, 0.439], [0.071, 0.635, 0.223], [0.929, 0.365, 0.777], [0.324, 0.617, 0.735], [0.500, 0.000, 0.000], [0.676, 0.383, 0.265], [0.000, 0.000, 0.000], [0.564, 0.219, 0.653], [0.436, 0.781, 0.347], [0.690, 0.672, 0.949], [0.310, 0.328, 0.051]]}

***

{"formula": "UIrO", "functional": "PBE", "state": "optimized geometry", "raw_formation_energy_mev_per_atom": -1759, "space_group": "P4/nmm (129)", "cell": [[3.879, 0.000, -0.595], [0.000, 3.924, 0.000], [-2.878, 0.000, 7.125]], "species": ["O", "O", "U", "U", "Ir", "Ir"], "fractional_positions": [[0.750, 0.250, 0.500], [0.250, 0.750, 0.500], [0.057, 0.250, 0.307], [0.943, 0.750, 0.693], [0.250, 0.250, 0.000], [0.750, 0.750, 0.000]]}

***

{"formula": "KCu2Mo", "functional": "PBE", "state": "optimized geometry", "de_polymorph_mev_per_atom": 815, "space_group": "F-43m (216)", "formation_enthalpy_0k_ev_per_fu": 5.55, "cell": [[-0.866, -4.500, -0.946], [2.292, -3.361, 2.314], [-2.263, -2.653, 3.120]], "species": ["Cu", "Cu", "K", "Mo"], "fractional_positions": [[0.000, 0.000, 0.000], [0.250, 0.250, 0.250], [0.500, 0.500, 0.500], [0.750, 0.750, 0.750]]}

***

{"formula": "K2TbSb4Au3", "functional": "PBE", "state": "optimized geometry", "raw_formation_energy_mev_per_atom": -475, "space_group": "P-4m2 (115)", "cell": [[-0.883, 1.022, 4.616], [4.330, -1.712, 1.207], [4.853, 11.184, -1.547]], "species": ["K", "K", "Tb", "Sb", "Sb", "Sb", "Sb", "Au", "Au", "Au"], "fractional_positions": [[0.500, 0.000, 0.242], [0.000, 0.500, 0.758], [0.500, 0.500, 0.500], [0.500, 0.500, 0.000], [0.000, 0.000, 0.000], [0.500, 0.000, 0.645], [0.000, 0.500, 0.355], [0.000, 0.000, 0.500], [0.500, 0.000, 0.871], [0.000, 0.500, 0.129]]}

***

{"formula": "AcNiSb2Rh2", "functional": "PBE", "state": "optimized geometry", "raw_formation_energy_mev_per_atom": -289, "space_group": "P4/mmm (123)", "cell": [[4.842, 0.000, 0.000], [0.000, 4.842, 0.000], [0.000, 0.000, 5.652]], "species": ["Ac", "Ni", "Sb", "Sb", "Rh", "Rh"], "fractional_positions": [[0.000, 0.000, 0.500], [0.000, 0.000, 0.000], [0.500, 0.000, 0.000], [0.000, 0.500, 0.000], [0.500, 0.500, 0.740], [0.500, 0.500, 0.260]]}

***

{"formula": "Ca2TeRu2", "functional": "PBE", "state": "optimized geometry", "de_polymorph_mev_per_atom": 838, "raw_formation_energy_mev_per_atom": 594, "space_group": "P4/mbm (127)", "cell": [[-7.087, 1.949, 3.044], [-3.098, -6.725, -2.909], [0.807, -1.638, 2.928]], "species": ["Ru", "Ru", "Ru", "Ru", "Ca", "Ca", "Ca", "Ca", "Te", "Te"], "fractional_positions": [[0.176, 0.676, 0.500], [0.676, 0.824, 0.500], [0.824, 0.324, 0.500], [0.324, 0.176, 0.500], [0.368, 0.868, 0.000], [0.868, 0.632, 0.000], [0.632, 0.132, 0.000], [0.132, 0.368, 0.000], [0.000, 0.000, 0.000], [0.500, 0.500, 0.000]]}

***

{"formula": "TcNi2Os", "functional": "PBE", "state": "optimized geometry", "de_polymorph_mev_per_atom": 42, "space_group": "Cm (8)", "formation_enthalpy_0k_ev_per_fu": 0.27, "cell": [[-0.790, -0.264, 4.486], [-1.887, -2.385, 3.401], [3.570, -2.478, 1.234]], "species": ["Ni", "Ni", "Os", "Tc"], "fractional_positions": [[0.001, 0.001, 0.987], [0.750, 0.750, 0.761], [0.495, 0.495, 0.499], [0.253, 0.253, 0.253]]}

***

{"formula": "Dy3CoHg", "functional": "PBE", "state": "optimized geometry", "de_polymorph_mev_per_atom": 0, "space_group": "P-1 (2)", "formation_enthalpy_0k_ev_per_fu": -1.41, "cell": [[5.512, 0.052, 0.319], [-2.706, 5.864, -0.589], [0.466, -2.989, 7.987]], "species": ["Dy", "Dy", "Dy", "Dy", "Dy", "Dy", "Co", "Co", "Hg", "Hg"], "fractional_positions": [[0.463, 0.781, 0.119], [0.137, 0.371, 0.687], [0.872, 0.811, 0.777], [0.128, 0.189, 0.223], [0.537, 0.219, 0.881], [0.863, 0.629, 0.313], [0.939, 0.682, 0.021], [0.061, 0.318, 0.979], [0.609, 0.244, 0.481], [0.391, 0.756, 0.519]]}

***

{"formula": "Sr2Ga5Ni4", "functional": "PBE", "state": "optimized geometry", "space_group": "C2/m (12)", "formation_enthalpy_0k_ev_per_fu": -3.36, "cell": [[-2.373, 1.933, -4.789], [-0.344, -4.502, -5.019], [-6.621, -1.438, -0.671]], "species": ["Sr", "Sr", "Ga", "Ga", "Ga", "Ga", "Ga", "Ni", "Ni", "Ni", "Ni"], "fractional_positions": [[0.278, 0.793, 0.652], [0.722, 0.207, 0.348], [0.209, 0.247, 0.863], [0.791, 0.753, 0.137], [0.000, 0.500, 0.500], [0.680, 0.247, 0.863], [0.320, 0.753, 0.137], [0.373, 0.066, 0.187], [0.627, 0.934, 0.813], [0.791, 0.541, 0.877], [0.209, 0.459, 0.123]]}

***

{"formula": "Cu2Ge3Te4", "functional": "PBE", "state": "optimized geometry", "raw_formation_energy_mev_per_atom": -2, "space_group": "C2/m (12)", "cell": [[-0.698, 1.317, -4.015], [5.259, -2.908, -4.153], [-5.502, -4.947, -2.949]], "species": ["Cu", "Cu", "Ge", "Ge", "Ge", "Te", "Te", "Te", "Te"], "fractional_positions": [[0.711, 0.985, 0.594], [0.289, 0.015, 0.406], [0.000, 0.000, 0.000], [0.146, 0.480, 0.228], [0.854, 0.520, 0.772], [0.710, 0.224, 0.356], [0.290, 0.776, 0.644], [0.422, 0.263, 0.893], [0.578, 0.737, 0.107]]}

***

{"formula": "Ho2Al8Ni", "functional": "PBE", "state": "optimized geometry", "space_group": "P4/mmm (123)", "formation_enthalpy_0k_ev_per_fu": -4.95, "cell": [[-2.618, 0.374, 3.294], [-3.285, -0.858, -2.513], [1.170, -10.793, 2.156]], "species": ["Ho", "Ho", "Al", "Al", "Al", "Al", "Al", "Al", "Al", "Al", "Ni"], "fractional_positions": [[0.000, 0.000, 0.308], [0.000, 0.000, 0.692], [0.000, 0.500, 0.500], [0.500, 0.000, 0.500], [0.500, 0.500, 0.304], [0.500, 0.500, 0.696], [0.000, 0.500, 0.120], [0.500, 0.000, 0.120], [0.000, 0.500, 0.880], [0.500, 0.000, 0.880], [0.000, 0.000, 0.000]]}

***

{"formula": "Ac2LaSm6", "functional": "PBE", "state": "optimized geometry", "de_polymorph_mev_per_atom": 74, "space_group": "P-3m1 (164)", "formation_enthalpy_0k_ev_per_fu": 1.69, "cell": [[6.319, -0.027, -0.016], [0.036, 7.781, 0.009], [0.036, 3.884, 6.743]], "species": ["Ac", "Ac", "La", "Sm", "Sm", "Sm", "Sm", "Sm", "Sm"], "fractional_positions": [[0.787, 0.667, 0.667], [0.213, 0.333, 0.333], [0.000, 0.000, 0.000], [0.293, 0.371, 0.815], [0.293, 0.815, 0.815], [0.293, 0.815, 0.371], [0.707, 0.629, 0.185], [0.707, 0.185, 0.185], [0.707, 0.185, 0.629]]}

***

{"formula": "Mg2PbBr", "functional": "PBE", "state": "optimized geometry", "de_polymorph_mev_per_atom": 171, "raw_formation_energy_mev_per_atom": -252, "space_group": "Imm2 (44)", "cell": [[6.310, -0.006, 0.007], [2.703, 5.701, -0.007], [-3.654, -4.197, 2.974]], "species": ["Br", "Mg", "Mg", "Pb"], "fractional_positions": [[0.210, 0.710, 0.500], [0.014, 0.014, 0.000], [0.769, 0.269, 0.500], [0.507, 0.507, 0.000]]}

***

Number 1: mass density 6.37 Mg/m³. Number 2: mass density 11.20 Mg/m³. Number 3: mass density 9.51 Mg/m³. Number 4: mass density 10.86 Mg/m³. Number 5: mass density 9.34 Mg/m³. Number 6: mass density 8.32 Mg/m³. Number 7: mass density 6.36 Mg/m³. Number 8: mass density 5.83 Mg/m³. Number 9: mass density 1.84 Mg/m³. Number 10: mass density 12.08 Mg/m³. Number 11: mass density 2.91 Mg/m³. Number 12: mass density 5.24 Mg/m³. Number 13: mass density 14.57 Mg/m³. Number 14: mass density 6.01 Mg/m³. Number 15: mass density 7.68 Mg/m³. Number 16: mass density 9.21 Mg/m³. Number 17: mass density 6.23 Mg/m³. Number 18: mass density 13.20 Mg/m³. Number 19: mass density 9.87 Mg/m³. Number 20: mass density 5.88 Mg/m³. Number 21: mass density 6.24 Mg/m³. Number 22: mass density 5.08 Mg/m³. Number 23: mass density 7.49 Mg/m³. Number 24: mass density 5.21 Mg/m³.